Run P
First-principles (PBE) data for a geometry-optimized Dy2BeIr3 structure, as listed in Alexandria via LeMat-Bulk.

Cell: 5.5106 5.5106 11.6368 Å, 90.00 90.00 120.00°
Space group R-3m (No. 166, hexagonal axes)
Inequivalent atoms, fractional coordinates:
1 Dy 0.0000 0.0000 0.1275 (multiplicity 6)
2 Be 0.0000 0.0000 0.5000 (multiplicity 3)
3 Ir 0.0000 0.5000 0.0000 (multiplicity 9)


Run Q
First-principles (PBE) data for a geometry-optimized Dy2BeIr3 structure, as listed in Alexandria via LeMat-Bulk.

Cell: 5.5056 5.5056 7.7939 Å, 90.00 90.00 120.00°
Space group P6_3/mmc (No. 194)
Inequivalent atoms, fractional coordinates:
1 Dy 0.3333 0.6667 0.0597 (multiplicity 4)
2 Be 0.0000 0.0000 0.0000 (multiplicity 2)
3 Ir 0.1636 0.3272 0.7500 (multiplicity 6)


run P takes first place; second place is 19 meV/atom up.


Run P
First-principles (PBE) data for a geometry-optimized DyBe2Ir structure, as listed in Alexandria via LeMat-Bulk.

Cell: 3.8792 3.8792 14.3980 Å, 90.00 90.00 120.00°
Space group R-3m (No. 166, hexagonal axes)
Inequivalent atoms, fractional coordinates:
1 Dy 0.0000 0.0000 0.0000 (multiplicity 3)
2 Be 0.0000 0.0000 0.1968 (multiplicity 6)
3 Ir 0.0000 0.0000 0.5000 (multiplicity 3)


Run Q
First-principles (PBE) data for a geometry-optimized DyBe2Ir structure, as listed in Alexandria via LeMat-Bulk.

Cell: 3.8802 3.8802 9.6042 Å, 90.00 90.00 120.00°
Space group P6_3/mmc (No. 194)
Inequivalent atoms, fractional coordinates:
1 Dy 0.3333 0.6667 0.2500 (multiplicity 2)
2 Be 0.3333 0.6667 0.5462 (multiplicity 4)
3 Ir 0.0000 0.0000 0.0000 (multiplicity 2)


run P takes first place; second place is 14 meV/atom up.


Run P
First-principles (PBE) data for a geometry-optimized DyBe2Ir2 structure, as listed in Alexandria via LeMat-Bulk.

Cell: 4.0050 4.0050 9.2364 Å, 90.00 90.00 90.00°
Space group P4/nmm (No. 129, origin choice 2)
Inequivalent atoms, fractional coordinates:
1 Dy 0.2500 0.2500 0.2481 (multiplicity 2)
2 Be 0.2500 0.2500 0.8754 (multiplicity 2)
3 Be 0.2500 0.7500 0.5000 (multiplicity 2)
4 Ir 0.2500 0.2500 0.6229 (multiplicity 2)
5 Ir 0.2500 0.7500 0.0000 (multiplicity 2)


Run Q
First-principles (PBE) data for a geometry-optimized DyBe2Ir2 structure, as listed in Alexandria via LeMat-Bulk.

Cell: 4.1688 4.1688 8.7420 Å, 90.00 90.00 90.00°
Space group I4/mmm (No. 139)
Inequivalent atoms, fractional coordinates:
1 Dy 0.0000 0.0000 0.0000 (multiplicity 2)
2 Be 0.0000 0.0000 0.3512 (multiplicity 4)
3 Ir 0.0000 0.5000 0.2500 (multiplicity 4)


run Q takes first place; second place is 16 meV/atom up.


Run P
First-principles (PBE) data for a geometry-optimized LaDy2Be structure, as listed in Alexandria via LeMat-Bulk.

Cell: 3.4712 3.4712 8.9308 Å, 90.00 90.00 90.00°
Space group P4/mmm (No. 123)
Inequivalent atoms, fractional coordinates:
1 La 0.0000 0.0000 0.0000 (multiplicity 1)
2 Dy 0.5000 0.5000 0.3171 (multiplicity 2)
3 Be 0.0000 0.0000 0.5000 (multiplicity 1)


Run Q
First-principles (PBE) data for a geometry-optimized LaDy2Be structure, as listed in Alexandria via LeMat-Bulk.

Cell: 3.4919 3.4919 34.3301 Å, 90.00 90.00 120.00°
Space group R-3m (No. 166, hexagonal axes)
Inequivalent atoms, fractional coordinates:
1 La 0.0000 0.0000 0.0000 (multiplicity 3)
2 Dy 0.0000 0.0000 0.4167 (multiplicity 6)
3 Be 0.0000 0.0000 0.5000 (multiplicity 3)


run P takes first place; second place is 637 meV/atom up.


Run P
First-principles (PBE) data for a geometry-optimized DyBeNi structure, as listed in Alexandria via LeMat-Bulk.

Cell: 3.8861 3.8861 3.7905 Å, 90.00 90.00 120.00°
Space group P-6m2 (No. 187)
Inequivalent atoms, fractional coordinates:
1 Dy 0.0000 0.0000 0.0000 (multiplicity 1)
2 Be 0.3333 0.6667 0.5000 (multiplicity 1)
3 Ni 0.6667 0.3333 0.5000 (multiplicity 1)


Run Q
First-principles (PBE) data for a geometry-optimized DyBeNi structure, as listed in Alexandria via LeMat-Bulk.

Cell: 6.2830 6.2830 5.5155 Å, 90.00 90.00 90.00°
Space group P4_12_12 (No. 92)
Inequivalent atoms, fractional coordinates:
1 Dy 0.2227 0.2227 0.0000 (multiplicity 4)
2 Be 0.1046 0.1046 0.5000 (multiplicity 4)
3 Ni 0.1519 0.8481 0.7500 (multiplicity 4)


run P takes first place; second place is 291 meV/atom up.


Run P
First-principles (PBE) data for a geometry-optimized DyBePd2 structure, as listed in Alexandria via LeMat-Bulk.

Cell: 4.1135 4.1135 14.4235 Å, 90.00 90.00 120.00°
Space group R-3m (No. 166, hexagonal axes)
Inequivalent atoms, fractional coordinates:
1 Dy 0.0000 0.0000 0.0000 (multiplicity 3)
2 Be 0.0000 0.0000 0.5000 (multiplicity 3)
3 Pd 0.0000 0.0000 0.2123 (multiplicity 6)


Run Q
First-principles (PBE) data for a geometry-optimized DyBePd2 structure, as listed in Alexandria via LeMat-Bulk.

Cell: 4.1009 17.1839 3.9076 Å, 90.00 90.00 90.00°
Space group Cmmm (No. 65)
Inequivalent atoms, fractional coordinates:
1 Dy 0.0000 0.1446 0.0000 (multiplicity 4)
2 Be 0.0000 0.4301 0.5000 (multiplicity 4)
3 Pd 0.0000 0.0000 0.5000 (multiplicity 2)
4 Pd 0.0000 0.3005 0.5000 (multiplicity 4)
5 Pd 0.0000 0.5000 0.0000 (multiplicity 2)


run Q takes first place; second place is 87 meV/atom up.